Record 1
A geometry-optimized KNa2CoH6 structure, computed with PBE.

Summary:
Theoretical density = 2.1 g cm⁻³
Total DFT energy (no corrections) = -0.1198 Ha/atom
V = 11.6 Å³ per atom

a = 5.477 Å, b = 5.477 Å, c = 5.477 Å
α = 60.00°, β = 60.00°, γ = 60.00°
Positions (direct):
K  0.500  0.500  0.500
Na  0.750  0.750  0.750
Na  0.250  0.250  0.250
Co  0.000  0.000  0.000
H  0.198  0.802  0.802
H  0.198  0.802  0.198
H  0.198  0.198  0.802
H  0.802  0.802  0.198
H  0.802  0.198  0.198
H  0.802  0.198  0.802

=====

Record 2
A geometry-optimized Pm3CrN5 structure, computed with PBE.

Summary:
Theoretical density = 7.4 g cm⁻³
Total DFT energy (no corrections) = -0.3100 Ha/atom
V = 13.8 Å³ per atom

a = 6.696 Å, b = 6.696 Å, c = 7.287 Å
α = 117.35°, β = 117.35°, γ = 90.00°
Positions (direct):
Pm  0.674  0.174  0.000
Pm  0.326  0.826  0.000
Pm  0.826  0.674  0.000
Pm  0.174  0.326  0.000
Pm  0.250  0.250  0.500
Pm  0.750  0.750  0.500
Cr  0.750  0.250  0.500
Cr  0.250  0.750  0.500
N  0.991  0.491  0.691
N  0.700  0.200  0.691
N  0.200  0.991  0.691
N  0.491  0.700  0.691
N  0.009  0.509  0.309
N  0.300  0.800  0.309
N  0.800  0.009  0.309
N  0.509  0.300  0.309
N  0.500  0.500  0.000
N  0.000  0.000  0.000

=====

Record 3
A geometry-optimized RbMoPt2 structure, computed with PBE.

Summary:
Theoretical density = 8.1 g cm⁻³
Formation energy = 666 meV per atom
V = 29.1 Å³ per atom

a = 7.727 Å, b = 7.727 Å, c = 6.716 Å
α = 54.88°, β = 54.88°, γ = 90.00°
Positions (direct):
Mo  0.000  0.000  0.000
Mo  0.750  0.250  0.500
Rb  0.500  0.500  0.000
Rb  0.250  0.750  0.500
Pt  0.727  0.125  0.250
Pt  0.023  0.625  0.250
Pt  0.375  0.273  0.750
Pt  0.875  0.977  0.750

=====

Record 4
A geometry-optimized AgMo2As structure, computed with PBE.

Summary:
Theoretical density = 9.5 g cm⁻³
Formation energy = 387 meV per atom
V = 16.4 Å³ per atom

a = 8.963 Å, b = 8.963 Å, c = 8.963 Å
α = 18.84°, β = 18.84°, γ = 18.84°
Positions (direct):
Mo  0.008  0.008  0.008
Mo  0.492  0.492  0.492
As  0.750  0.750  0.750
Ag  0.250  0.250  0.250

=====

Q: What is the theoretical density in the second record?
A: 7.4 g cm⁻³

=====

Q: The lowest V belongs to which entry?
A: KNa2CoH6

=====

Q: The lowest theoretical density belongs to which entry?
A: KNa2CoH6

=====

Q: Which value of theoretical density does entry 3 give?
A: 8.1 g cm⁻³